A relaxed structure of KV2Zn2O7, computed with GGA+U.

Calculated values
**VASP energy**: -6.113 eV per atom
**Calculated volume**: 19.61 Å³ per atom

```
data_KV2Zn2O7
_space_group_name_H-M_alt 'R 3 2'
_space_group_IT_number 155
_space_group_name_Hall 'R 3 2"'
_cell_length_a 5.7470
_cell_length_b 5.7470
_cell_length_c 24.6778
_cell_angle_alpha 90.00
_cell_angle_beta 90.00
_cell_angle_gamma 120.00
loop_
_atom_site_label
_atom_site_fract_x
_atom_site_fract_y
_atom_site_fract_z
K1 0.0000 0.0000 0.0000
V1 0.0000 0.0000 0.4270
Zn1 0.0000 0.0000 0.2599
O1 0.0000 0.0000 0.5000
O2 0.0238 0.4029 0.0695
```